# 1
# CoPtRh2, relaxed, DFT PBEsol
# **E**: -7.747 eV per atom
# **ΔH_f (0 K)**: -0.002 eV per atom
data_CoPtRh2
_chemical_formula_sum 'Co2 Pt2 Rh4'
_symmetry_space_group_name_H-M 'I -4 m 2'
_symmetry_Int_Tables_number 119
_symmetry_space_group_name_Hall 'I -4 -2'
_cell_length_a 3.7539
_cell_length_b 3.7539
_cell_length_c 7.4688
_cell_angle_alpha 90.00
_cell_angle_beta 90.00
_cell_angle_gamma 90.00
loop_
_atom_site_label
_atom_site_type_symbol
_atom_site_fract_x
_atom_site_fract_y
_atom_site_fract_z
Co1 Co 0.0000 0.0000 0.0000
Pt1 Pt 0.0000 0.5000 0.7500
Rh1 Rh 0.0000 0.0000 0.5000
Rh2 Rh 0.0000 0.5000 0.2500


# 2
# BaIrRh2, relaxed, DFT PBEsol
# **Energy relative to the lowest polymorph listed for this composition**: 0.000 eV/atom
# **E**: -6.990 eV per atom
# **ΔH_f (0 K)**: 0.072 eV per atom
data_BaIrRh2
_chemical_formula_sum 'Ba3 Ir3 Rh6'
_symmetry_space_group_name_H-M 'R -3 m'
_symmetry_Int_Tables_number 166
_symmetry_space_group_name_Hall '-R 3 2"'
_cell_length_a 4.3920
_cell_length_b 4.3920
_cell_length_c 16.5042
_cell_angle_alpha 90.00
_cell_angle_beta 90.00
_cell_angle_gamma 120.00
loop_
_atom_site_label
_atom_site_type_symbol
_atom_site_fract_x
_atom_site_fract_y
_atom_site_fract_z
Ba1 Ba 0.0000 0.0000 0.0000
Ir1 Ir 0.0000 0.0000 0.5000
Rh1 Rh 0.0000 0.0000 0.1866